Pm2ErTe5 | the Alexandria database | GGA-PBE | relaxed; energy = -4.94 eV per atom; V = 644.1 Å³ per cell; E_form (uncorrected) = -1.22 eV per atom; symmetry = Cmcm
1.0
3.115 -7.601 0.000
3.115 7.601 0.000
0.000 0.000 13.602
Pm Er Te
4 2 10
Direct
0.161 0.839 0.563
0.161 0.839 0.937
0.839 0.161 0.063
0.839 0.161 0.437
0.200 0.800 0.250
0.800 0.200 0.750
0.035 0.965 0.125
0.035 0.965 0.375
0.282 0.718 0.750
0.325 0.675 0.077
0.325 0.675 0.423
0.675 0.325 0.577
0.675 0.325 0.923
0.718 0.282 0.250
0.965 0.035 0.625
0.965 0.035 0.875